Record 1
Computed, not measured: crystalline PrCuH3 at its relaxed geometry at the PBE level of DFT.

Output
- E_tot: -0.300 Ry per atom
- Space-group type: P2_1/m (11)

abc: 3.9959 7.0042 4.6915
angles: 90.00 114.21 90.00
Closest atoms and distances in Å follow each position.
Fractional positions:
1 Pr 0.1976 0.2500 0.3930  8 H 2.36-2.61
2 Pr 0.8024 0.7500 0.6070  8 H 2.36-2.61
3 Cu 0.5000 0.0000 0.0000  4 H 1.69-1.78
4 Cu 0.5000 0.5000 0.0000  4 H 1.69-1.78
5 H 0.3073 0.5576 0.6165  1 Cu 1.69
6 H 0.3073 0.9424 0.6165  1 Cu 1.69
7 H 0.4286 0.2500 0.9463  2 Cu 1.78
8 H 0.5714 0.7500 0.0537  2 Cu 1.78
9 H 0.6927 0.0576 0.3835  1 Cu 1.69
10 H 0.6927 0.4424 0.3835  1 Cu 1.69


Record 2
Computed, not measured: crystalline Pa2MnPtN5 at its relaxed geometry at the PBE level of DFT.

Output
- E_form (uncorrected): -6.38 eV/f.u.
- Space-group type: Cmc2_1 (36)

abc: 6.5986 6.5986 10.1799
angles: 90.00 90.00 150.17
Closest atoms and distances in Å follow each position.
Fractional positions:
1 Pa 0.0960 0.9040 0.5000  4 N 2.22-2.40
2 Pa 0.1553 0.8447 0.1274  3 N 2.21-2.38
3 Pa 0.8447 0.1553 0.6274  3 N 2.21-2.38
4 Pa 0.9040 0.0960 0.0000  4 N 2.22-2.40
5 Mn 0.2102 0.7898 0.8430  2 N 1.91-2.01
6 Mn 0.7898 0.2102 0.3430  2 N 1.91-2.01
7 Pt 0.4701 0.5299 0.2714  5 N 2.01-2.22
8 Pt 0.5299 0.4701 0.7714  5 N 2.01-2.22
9 N 0.0686 0.9314 0.9033  1 Mn 1.91
10 N 0.2700 0.7300 0.4936  3 Pa 2.22-2.38, 2 Mn 2.30
11 N 0.3191 0.6809 0.1973  1 Pt 2.07, 1 Pa 2.21, 2 Mn 2.29
12 N 0.3670 0.6330 0.8270  1 Mn 2.01, 1 Pt 2.15
13 N 0.4811 0.5189 0.5833  1 Pt 2.01
14 N 0.5189 0.4811 0.0833  1 Pt 2.01
15 N 0.6330 0.3670 0.3270  1 Mn 2.01, 1 Pt 2.15
16 N 0.6809 0.3191 0.6973  1 Pt 2.07, 1 Pa 2.21, 2 Mn 2.29
17 N 0.7300 0.2700 0.9936  3 Pa 2.22-2.38, 2 Mn 2.30
18 N 0.9314 0.0686 0.4033  1 Mn 1.91


Record 3
Computed, not measured: crystalline KMnCo2P at its relaxed geometry at the PBE level of DFT.

Output
- ΔE_f: 729 meV per atom
- Space-group type: P4/mmm (123)

abc: 4.6764 4.6764 4.3057
angles: 90.00 90.00 90.00
Closest atoms and distances in Å follow each position.
Fractional positions:
1 K 0.0000 0.0000 0.0000  8 Co 3.18, 4 P 3.31
2 Mn 0.5000 0.5000 0.5000  2 P 2.15, 4 Co 2.34
3 Co 0.0000 0.5000 0.5000  2 Mn 2.34
4 Co 0.5000 0.0000 0.5000  2 Mn 2.34
5 P 0.5000 0.5000 0.0000  2 Mn 2.15


Record 4
Computed, not measured: crystalline KSnB at its relaxed geometry at the PBE level of DFT.

Output
- ΔE_f: 539 meV per atom
- Space-group type: Cmcm (63)

abc: 8.5783 8.5783 4.7909
angles: 90.00 90.00 152.75
Closest atoms and distances in Å follow each position.
Fractional positions:
1 K 0.0943 0.9057 0.7500  2 B 3.10
2 K 0.9057 0.0943 0.2500  2 B 3.10
3 Sn 0.3112 0.6888 0.7500  4 B 2.38-2.52
4 Sn 0.6888 0.3112 0.2500  4 B 2.38-2.52
5 B 0.2646 0.7354 0.2500  4 Sn 2.38-2.52
6 B 0.7354 0.2646 0.7500  4 Sn 2.38-2.52


Record 5
Computed, not measured: crystalline Ac4IrS2N at its relaxed geometry at the PBE level of DFT.

Output
- E_form (uncorrected): -10.97 eV/f.u.
- Space-group type: P2/m (10)

abc: 7.2056 4.2173 7.5393
angles: 90.00 107.33 90.00
Closest atoms and distances in Å follow each position.
Fractional positions:
1 Ac 0.2347 0.0000 0.2780  1 N 2.71, 2 Ir 3.00
2 Ac 0.2375 0.5000 0.7235  1 Ir 2.88, 2 N 2.92, 3 S 3.07-3.17
3 Ac 0.7625 0.5000 0.2765  1 Ir 2.88, 2 N 2.92, 3 S 3.07-3.17
4 Ac 0.7653 0.0000 0.7220  1 N 2.71, 2 Ir 3.00
5 Ir 0.5000 0.5000 0.5000  6 Ac 2.88-3.00
6 S 0.0000 0.5000 0.0000  6 Ac 3.07-3.10
7 S 0.5000 0.0000 0.0000  6 Ac 3.17-3.23
8 N 0.0000 0.0000 0.5000  6 Ac 2.71-2.92


Record 6
Computed, not measured: crystalline Er2HS3 at its relaxed geometry at the PBE level of DFT.

Output
- E_tot: -0.413 Ry per atom
- Space-group type: Pnma (62)

abc: 10.5992 3.7813 10.4926
angles: 90.00 90.00 90.00
Closest atoms and distances in Å follow each position.
Fractional positions:
1 Er 0.0295 0.2500 0.1845  2 H 2.24
2 Er 0.1975 0.2500 0.5097  1 H 2.23
3 Er 0.3025 0.7500 0.0097  1 H 2.23
4 Er 0.4705 0.7500 0.6845  2 H 2.24
5 Er 0.5295 0.2500 0.3155  2 H 2.24
6 Er 0.6975 0.2500 0.9903  1 H 2.23
7 Er 0.8025 0.7500 0.4903  1 H 2.23
8 Er 0.9705 0.7500 0.8155  2 H 2.24
9 H 0.1301 0.7500 0.1316  3 Er 2.23-2.24
10 H 0.3699 0.2500 0.6316  3 Er 2.23-2.24
11 H 0.6301 0.7500 0.3684  3 Er 2.23-2.24
12 H 0.8699 0.2500 0.8684  3 Er 2.23-2.24
13 S 0.0486 0.7500 0.3795  1 H 2.74, 5 Er 2.79-2.86
14 S 0.1238 0.2500 0.9362  3 H 2.78-2.79, 5 Er 2.79-2.80
15 S 0.2140 0.7500 0.7026  2 H 2.62, 4 Er 2.73-2.84
16 S 0.2860 0.2500 0.2026  2 H 2.62, 4 Er 2.73-2.84
17 S 0.3762 0.7500 0.4362  3 H 2.78-2.79, 5 Er 2.79-2.80
18 S 0.4514 0.2500 0.8795  1 H 2.74, 5 Er 2.79-2.86
19 S 0.5486 0.7500 0.1205  1 H 2.74, 5 Er 2.79-2.86
20 S 0.6238 0.2500 0.5638  3 H 2.78-2.79, 5 Er 2.79-2.80
21 S 0.7140 0.7500 0.7974  2 H 2.62, 4 Er 2.73-2.84
22 S 0.7860 0.2500 0.2974  2 H 2.62, 4 Er 2.73-2.84
23 S 0.8762 0.7500 0.0638  3 H 2.78-2.79, 5 Er 2.79-2.80
24 S 0.9514 0.2500 0.6205  1 H 2.74, 5 Er 2.79-2.86